No. 1
OsPd5 | GGA-PBE | relaxed

## Properties
The value obtained for the mass density is 12.97 g cm⁻³. The total energy comes out at -5.956 eV per atom.

Lattice parameters (Å, degrees): 2.7761 4.7033 7.4635 108.37 90.00 90.00
Positions (direct):
Os 0.0000 0.0000 0.0000
Pd 0.0000 0.6719 0.3438
Pd 0.0000 0.3281 0.6562
Pd 0.5000 0.5000 0.0000
Pd 0.5000 0.1593 0.3186
Pd 0.5000 0.8407 0.6814

***

No. 2
OsPd | GGA-PBE | relaxed

## Properties
The value obtained for the mass density is 14.58 g cm⁻³. The total energy comes out at -7.540 eV per atom.

Lattice parameters (Å, degrees): 8.5286 8.5286 3.7160 90.00 90.00 90.00
Positions (direct):
Os 0.8036 0.1066 0.5000
Os 0.1964 0.8934 0.5000
Os 0.8934 0.8036 0.5000
Os 0.1066 0.1964 0.5000
Os 0.7960 0.6263 0.0000
Os 0.2040 0.3737 0.0000
Os 0.3737 0.7960 0.0000
Os 0.6263 0.2040 0.0000
Pd 0.7088 0.4240 0.5000
Pd 0.2912 0.5760 0.5000
Pd 0.5760 0.7088 0.5000
Pd 0.4240 0.2912 0.5000
Pd 0.9124 0.3184 0.0000
Pd 0.0876 0.6816 0.0000
Pd 0.6816 0.9124 0.0000
Pd 0.3184 0.0876 0.0000

***

No. 3
OsPd | GGA-PBE | relaxed

## Properties
The value obtained for the mass density is 16.28 g cm⁻³. The total energy comes out at -7.837 eV per atom.

Lattice parameters (Å, degrees): 2.7383 10.2443 4.3146 90.00 90.00 90.00
Positions (direct):
Os 0.0000 0.5606 0.2500
Os 0.0000 0.4394 0.7500
Os 0.5000 0.0606 0.2500
Os 0.5000 0.9394 0.7500
Pd 0.0000 0.8226 0.2500
Pd 0.0000 0.1774 0.7500
Pd 0.5000 0.3226 0.2500
Pd 0.5000 0.6774 0.7500

***

No. 4
OsPd | GGA-PBE | relaxed

## Properties
The value obtained for the mass density is 15.01 g cm⁻³. The total energy comes out at -7.492 eV per atom.

Lattice parameters (Å, degrees): 3.5790 6.3702 8.6395 90.00 90.00 90.00
Positions (direct):
Os 0.0000 0.2046 0.9561
Os 0.0000 0.7954 0.9561
Os 0.0000 0.7046 0.4561
Os 0.0000 0.2954 0.4561
Os 0.5000 0.0000 0.4440
Os 0.5000 0.5000 0.9440
Pd 0.5000 0.8014 0.7118
Pd 0.5000 0.1986 0.7118
Pd 0.5000 0.3014 0.2118
Pd 0.5000 0.6986 0.2118
Pd 0.0000 0.0000 0.2221
Pd 0.0000 0.5000 0.7221

***

No. 5
OsPd | GGA-PBE | relaxed

## Properties
The value obtained for the mass density is 15.46 g cm⁻³. The total energy comes out at -7.686 eV per atom.

Lattice parameters (Å, degrees): 7.7782 14.7813 4.4332 90.00 90.00 90.00
Positions (direct):
Os 0.0000 0.5842 0.0000
Os 0.0000 0.4158 0.0000
Os 0.2500 0.1658 0.2500
Os 0.2500 0.3342 0.2500
Os 0.0000 0.0842 0.5000
Os 0.0000 0.9158 0.5000
Os 0.2500 0.6658 0.7500
Os 0.2500 0.8342 0.7500
Os 0.5000 0.5842 0.5000
Os 0.5000 0.4158 0.5000
Os 0.7500 0.1658 0.7500
Os 0.7500 0.3342 0.7500
Os 0.5000 0.0842 0.0000
Os 0.5000 0.9158 0.0000
Os 0.7500 0.6658 0.2500
Os 0.7500 0.8342 0.2500
Pd 0.1639 0.0000 0.0000
Pd 0.8361 0.0000 0.0000
Pd 0.0861 0.7500 0.2500
Pd 0.4139 0.7500 0.2500
Pd 0.1639 0.5000 0.5000
Pd 0.8361 0.5000 0.5000
Pd 0.0861 0.2500 0.7500
Pd 0.4139 0.2500 0.7500
Pd 0.6639 0.0000 0.5000
Pd 0.3361 0.0000 0.5000
Pd 0.5861 0.7500 0.7500
Pd 0.9139 0.7500 0.7500
Pd 0.6639 0.5000 0.0000
Pd 0.3361 0.5000 0.0000
Pd 0.5861 0.2500 0.2500
Pd 0.9139 0.2500 0.2500

***

No. 6
OsPd | GGA-PBE | relaxed

## Properties
The value obtained for the mass density is 16.62 g cm⁻³. The total energy comes out at -8.138 eV per atom.

Lattice parameters (Å, degrees): 2.7797 2.7797 8.8590 90.00 90.00 120.00
Positions (direct):
Os 0.3333 0.6667 0.1155
Os 0.6667 0.3333 0.8845
Pd 0.3333 0.6667 0.6328
Pd 0.6667 0.3333 0.3672

***

No. 7
OsPd | GGA-PBE | relaxed

## Properties
The value obtained for the mass density is 11.85 g cm⁻³. The total energy comes out at -6.411 eV per atom.

Lattice parameters (Å, degrees): 4.3269 4.3269 5.1259 90.00 90.00 120.00
Positions (direct):
Os 0.3333 0.6667 0.7500
Os 0.6667 0.3333 0.2500
Pd 0.3333 0.6667 0.2500
Pd 0.6667 0.3333 0.7500

***

No. 8
OsPd | GGA-PBE | relaxed

## Properties
The value obtained for the mass density is 16.75 g cm⁻³. The total energy comes out at -7.788 eV per atom.

Lattice parameters (Å, degrees): 2.7145 2.7145 3.9916 90.00 90.00 90.00
Positions (direct):
Os 0.0000 0.0000 0.5000
Pd 0.5000 0.5000 0.0000

***

No. 9
OsPd | GGA-PBE | relaxed

## Properties
The value obtained for the mass density is 16.76 g cm⁻³. The total energy comes out at -7.934 eV per atom.

Lattice parameters (Å, degrees): 9.5725 4.4181 5.5585 90.00 90.00 90.00
Positions (direct):
Os 0.1620 0.2500 0.7683
Os 0.6620 0.2500 0.7317
Os 0.8380 0.7500 0.2317
Os 0.3380 0.7500 0.2683
Os 0.9124 0.2500 0.9964
Os 0.4124 0.2500 0.5036
Os 0.0876 0.7500 0.0036
Os 0.5876 0.7500 0.4964
Pd 0.1690 0.2500 0.2578
Pd 0.6690 0.2500 0.2422
Pd 0.8310 0.7500 0.7422
Pd 0.3310 0.7500 0.7578
Pd 0.9150 0.2500 0.4990
Pd 0.4150 0.2500 0.0010
Pd 0.0850 0.7500 0.5010
Pd 0.5850 0.7500 0.9990

***

No. 10
OsPd | GGA-PBE | relaxed

## Properties
The value obtained for the mass density is 10.59 g cm⁻³. The total energy comes out at -6.310 eV per atom.

Lattice parameters (Å, degrees): 6.9497 6.9497 3.8520 90.00 90.00 90.00
Positions (direct):
Os 0.3324 0.3324 0.0000
Os 0.8324 0.1676 0.5000
Os 0.1676 0.8324 0.5000
Os 0.6676 0.6676 0.0000
Pd 0.3192 0.6808 0.0000
Pd 0.8192 0.8192 0.5000
Pd 0.1808 0.1808 0.5000
Pd 0.6808 0.3192 0.0000

***

No. 11
OsPd | GGA-PBE | relaxed

## Properties
The value obtained for the mass density is 16.86 g cm⁻³. The total energy comes out at -7.917 eV per atom.

Lattice parameters (Å, degrees): 3.8912 3.8912 7.7186 90.00 90.00 90.00
Positions (direct):
Os 0.0000 0.0000 0.0000
Os 0.0000 0.5000 0.2500
Os 0.5000 0.5000 0.5000
Os 0.5000 0.0000 0.7500
Pd 0.0000 0.0000 0.5000
Pd 0.0000 0.5000 0.7500
Pd 0.5000 0.5000 0.0000
Pd 0.5000 0.0000 0.2500

***

No. 12
OsPd | GGA-PBE | relaxed

## Properties
The value obtained for the mass density is 13.82 g cm⁻³. The total energy comes out at -6.631 eV per atom.

Lattice parameters (Å, degrees): 5.2242 5.2242 5.2242 90.00 90.00 90.00
Positions (direct):
Os 0.5000 0.5000 0.5000
Os 0.5000 0.0000 0.0000
Os 0.0000 0.5000 0.0000
Os 0.0000 0.0000 0.5000
Pd 0.0000 0.0000 0.0000
Pd 0.0000 0.5000 0.5000
Pd 0.5000 0.0000 0.5000
Pd 0.5000 0.5000 0.0000